Version w
Below is a geometry-optimized YErTlGa structure, with properties calculated at the PBE level.

Values from the calculation:
total moment	0.0	μB per cell

abc: 5.2098 5.2098 5.2098
angles: 60.00 60.00 60.00
Fractional coordinates of all 4 atoms:
Ga1 0.0000 0.0000 0.0000
Tl1 0.5000 0.5000 0.5000
Er1 0.2500 0.2500 0.2500
Y1 0.7500 0.7500 0.7500



Version x
Below is a geometry-optimized YErTlGa structure, with properties calculated at the PBE level.

Values from the calculation:
total moment	0.0	μB per cell

abc: 3.5671 3.5671 7.8174
angles: 90.00 90.00 90.00
Fractional coordinates of all 4 atoms:
Tl1 0.0000 0.0000 0.8540
Er1 0.5000 0.5000 0.5884
Y1 0.5000 0.5000 0.1256
Ga1 0.0000 0.0000 0.3600



Energetically preferred structure: version x | next structure: +0.029 eV/atom



Version w
Below is a geometry-optimized Er3TmGa2 structure, with properties calculated at the PBE level.

Values from the calculation:
total moment	0.0	μB per cell

abc: 4.8851 6.5225 9.3641
angles: 90.00 90.00 90.00
Fractional coordinates of all 12 atoms:
Er1 0.0000 0.4646 0.9521
Er2 0.0000 0.9646 0.0479
Tm1 0.5000 0.5351 0.5485
Ga1 0.5000 0.7093 0.8606
Er3 0.5000 0.6732 0.1818
Ga2 0.0000 0.7911 0.3605
Er4 0.0000 0.8268 0.6801
Tm2 0.5000 0.0351 0.4515
Er5 0.5000 0.1732 0.8182
Ga3 0.5000 0.2093 0.1394
Ga4 0.0000 0.2911 0.6395
Er6 0.0000 0.3268 0.3199



Version x
Below is a geometry-optimized Er3TmGa2 structure, with properties calculated at the PBE level.

Values from the calculation:
total moment	0.0	μB per cell

abc: 5.0089 8.9935 8.7789
angles: 124.51 90.00 106.17
Fractional coordinates of all 12 atoms:
Ga1 0.7724 0.5448 0.1609
Er1 0.9393 0.8787 0.5964
Ga2 0.5176 0.0353 0.8823
Er2 0.6217 0.2433 0.7302
Er3 0.0607 0.1213 0.4036
Tm1 0.1303 0.2605 0.0703
Ga3 0.2276 0.4552 0.8391
Er4 0.6870 0.3739 0.3816
Er5 0.3783 0.7567 0.2698
Er6 0.3130 0.6261 0.6184
Tm2 0.8697 0.7395 0.9297
Ga4 0.4824 0.9647 0.1177



Energetically preferred structure: version w | next structure: +0.115 eV/atom